This record from the Alexandria database describes a relaxed structure of FeCuSiSe. The functional is GGA-PBE.

The structure belongs to space group Cm (No. 8); the cell edges are 7.544, 3.379 and 5.307 Å and the angles 90.00°, 98.98° and 90.00°. The distinct sites, in fractional coordinates, are Fe at (0.000, 0.000, 0.000), Cu at (0.181, 0.500, 0.782), Si at (0.375, 0.000, 0.693) and Se at (0.334, 0.000, 0.231).

As for the calculated density: 5.63 g cm⁻³. The total energy is -42.28 eV for the cell shown. For the energy relative to the elements, uncorrected, the calculation gives 0.33 eV/f.u. Its energy above the most stable polymorph in this dataset is 16.2 kJ/mol of atoms.